Entry from the Alexandria database: TlIr3 after structural relaxation (GGA-PBE).

Computed properties:
* N(E_F): 4.44 states/eV/cell
* energy of formation from the pure elements: 0.479 eV/atom
* space-group type: Imm2

Lattice parameters (Å, degrees): 5.423 5.423 5.423 149.26 126.19 63.26
Fractional coordinates of all 4 atoms:
Tl  0.410  0.750  0.660
Ir  0.925  0.250  0.675
Ir  0.508  0.509  0.999
Ir  0.989  0.991  0.999


Entry from the Alexandria database: Tl5Ir4 after structural relaxation (GGA-PBE).

Computed properties:
* N(E_F): 9.57 states/eV/cell
* distance to the lowest polymorph of the same formula: 3.7 meV/atom
* energy of formation from the pure elements: 0.645 eV/atom
* space-group type: I4/mmm

Lattice parameters (Å, degrees): 7.005 7.005 7.005 95.26 95.26 144.76
Fractional coordinates of all 9 atoms:
Tl  0.327  0.673  0.000
Tl  0.000  0.000  0.000
Tl  0.327  0.327  0.653
Tl  0.673  0.327  0.000
Tl  0.673  0.673  0.347
Ir  0.635  0.000  0.635
Ir  0.365  0.000  0.365
Ir  0.000  0.365  0.365
Ir  0.000  0.635  0.635